VASP calculation (PBE) on KNaCdF6 after structural relaxation.

Results
Size of the total moment in μB/f.u.: 2.1
E_tot in eV/f.u.: -31.92

Unit cell a=5.945 b=5.945 c=5.448 alpha=90.02 beta=90.02 gamma=120.08
Sites, in units of the cell vectors:
K 0.000 0.000 0.000
Na 0.666 0.334 0.500
Cd 0.333 0.667 0.500
F 0.027 0.380 0.288
F 0.028 0.647 0.713
F 0.353 0.972 0.287
F 0.354 0.381 0.712
F 0.619 0.646 0.288
F 0.620 0.973 0.712